1.
# La4Pr3Pb | Alexandria via LeMat-Bulk | PBE-GGA | relaxed
# Total energy = -4.858 eV per atom
# Energy of formation = -0.1384 eV/atom
# N(E_F) = 1.3241 states/eV/atom
data_La4Pr3Pb
_chemical_formula_sum 'La8 Pr6 Pb2'
_symmetry_space_group_name_H-M 'P m n 21'
_symmetry_Int_Tables_number 31
_cell_length_a 10.255
_cell_length_b 7.268
_cell_length_c 7.332
_cell_angle_alpha 90.00
_cell_angle_beta 90.00
_cell_angle_gamma 90.00
loop_
_symmetry_equiv_pos_as_xyz
'x,y,z'
'-x+1/2,-y,z+1/2'
'-x,y,z'
'x+1/2,-y,z+1/2'
loop_
_atom_site_label
_atom_site_type_symbol
_atom_site_fract_x
_atom_site_fract_y
_atom_site_fract_z
La1 La 0.000 0.001 0.000
La2 La 0.000 0.498 0.504
La3 La 0.249 0.758 0.251
Pr1 Pr 0.000 0.500 0.000
Pr2 Pr 0.250 0.230 0.251
Pb1 Pb 0.000 0.999 0.501



2.
# Ca4HoZn5 | Alexandria via LeMat-Bulk | PBE-GGA | relaxed
# Total energy = -2.155 eV per atom
# Energy of formation = -0.2595 eV/atom
# N(E_F) = 0.7301 states/eV/atom
data_Ca4HoZn5
_chemical_formula_sum 'Ca4 Ho1 Zn5'
_symmetry_space_group_name_H-M 'P 4/m m m'
_symmetry_Int_Tables_number 123
_symmetry_space_group_name_Hall '-P 4 2'
_cell_length_a 3.646
_cell_length_b 3.646
_cell_length_c 18.303
_cell_angle_alpha 90.00
_cell_angle_beta 90.00
_cell_angle_gamma 90.00
loop_
_atom_site_label
_atom_site_type_symbol
_atom_site_fract_x
_atom_site_fract_y
_atom_site_fract_z
Ca1 Ca 0.000 0.000 0.102
Ca2 Ca 0.000 0.000 0.304
Ho1 Ho 0.000 0.000 0.500
Zn1 Zn 0.500 0.500 0.000
Zn2 Zn 0.500 0.500 0.203
Zn3 Zn 0.500 0.500 0.409



3.
# Ta2RhCl | Alexandria via LeMat-Bulk | PBE-GGA | relaxed
# Total energy = -8.182 eV per atom
# N(E_F) = 0.7565 states/eV/atom
data_Ta2RhCl
_chemical_formula_sum 'Ta2 Rh1 Cl1'
_symmetry_space_group_name_H-M 'P 1 m 1'
_symmetry_Int_Tables_number 6
_cell_length_a 2.903
_cell_length_b 4.684
_cell_length_c 4.953
_cell_angle_alpha 90.00
_cell_angle_beta 94.72
_cell_angle_gamma 90.00
loop_
_symmetry_equiv_pos_as_xyz
'x,y,z'
'x,-y,z'
loop_
_atom_site_label
_atom_site_type_symbol
_atom_site_fract_x
_atom_site_fract_y
_atom_site_fract_z
Ta1 Ta 0.000 0.000 0.000
Ta2 Ta 0.261 0.500 0.649
Rh1 Rh 0.565 0.000 0.487
Cl1 Cl 0.032 0.500 0.147



4.
# Na3BiAs | Alexandria via LeMat-Bulk | PBE-GGA | relaxed
# Total energy = -2.455 eV per atom
# Energy of formation = 0.0425 eV/atom
# N(E_F) = 1.0919 states/eV/atom
data_Na3BiAs
_chemical_formula_sum 'Na3 Bi1 As1'
_symmetry_space_group_name_H-M 'P m -3 m'
_symmetry_Int_Tables_number 221
_symmetry_space_group_name_Hall '-P 4 2 3'
_cell_length_a 5.523
_cell_length_b 5.523
_cell_length_c 5.523
_cell_angle_alpha 90.00
_cell_angle_beta 90.00
_cell_angle_gamma 90.00
loop_
_atom_site_label
_atom_site_type_symbol
_atom_site_fract_x
_atom_site_fract_y
_atom_site_fract_z
Na1 Na 0.000 0.000 0.500
Bi1 Bi 0.500 0.500 0.500
As1 As 0.000 0.000 0.000



5.
# NaLa2Y | Alexandria via LeMat-Bulk | PBE-GGA | relaxed
# Total energy = -4.310 eV per atom
# Energy of formation = 0.0995 eV/atom
# N(E_F) = 1.3743 states/eV/atom
data_NaLa2Y
_chemical_formula_sum 'Na1 La2 Y1'
_symmetry_space_group_name_H-M 'P 4/m m m'
_symmetry_Int_Tables_number 123
_symmetry_space_group_name_Hall '-P 4 2'
_cell_length_a 3.574
_cell_length_b 3.574
_cell_length_c 11.320
_cell_angle_alpha 90.00
_cell_angle_beta 90.00
_cell_angle_gamma 90.00
loop_
_atom_site_label
_atom_site_type_symbol
_atom_site_fract_x
_atom_site_fract_y
_atom_site_fract_z
Na1 Na 0.000 0.000 0.000
La1 La 0.500 0.500 0.266
Y1 Y 0.000 0.000 0.500



6.
# Sr4ZnHg | Alexandria via LeMat-Bulk | PBE-GGA | relaxed
# Total energy = -1.638 eV per atom
# Energy of formation = -0.2541 eV/atom
# N(E_F) = 0.9405 states/eV/atom
data_Sr4ZnHg
_chemical_formula_sum 'Sr4 Zn1 Hg1'
_symmetry_space_group_name_H-M 'P 4/m m m'
_symmetry_Int_Tables_number 123
_symmetry_space_group_name_Hall '-P 4 2'
_cell_length_a 4.006
_cell_length_b 4.006
_cell_length_c 14.344
_cell_angle_alpha 90.00
_cell_angle_beta 90.00
_cell_angle_gamma 90.00
loop_
_atom_site_label
_atom_site_type_symbol
_atom_site_fract_x
_atom_site_fract_y
_atom_site_fract_z
Sr1 Sr 0.000 0.000 0.132
Sr2 Sr 0.500 0.500 0.364
Zn1 Zn 0.500 0.500 0.000
Hg1 Hg 0.000 0.000 0.500



7.
# Ga2Au3 | Alexandria via LeMat-Bulk | PBE-GGA | relaxed
# Total energy = -3.372 eV per atom
# Energy of formation = -0.1949 eV/atom
# N(E_F) = 0.1753 states/eV/atom
data_Ga2Au3
_chemical_formula_sum 'Ga8 Au12'
_symmetry_space_group_name_H-M 'P n m a'
_symmetry_Int_Tables_number 62
_cell_length_a 12.120
_cell_length_b 3.706
_cell_length_c 8.349
_cell_angle_alpha 90.00
_cell_angle_beta 90.00
_cell_angle_gamma 90.00
loop_
_symmetry_equiv_pos_as_xyz
'x,y,z'
'-x,-y,-z'
'-x+1/2,-y,z+1/2'
'x+1/2,y,-z+1/2'
'x+1/2,-y+1/2,-z+1/2'
'-x+1/2,y+1/2,z+1/2'
'-x,y+1/2,-z'
'x,-y+1/2,z'
loop_
_atom_site_label
_atom_site_type_symbol
_atom_site_fract_x
_atom_site_fract_y
_atom_site_fract_z
Ga1 Ga 0.013 0.250 0.148
Ga2 Ga 0.235 0.750 0.369
Au1 Au 0.018 0.750 0.376
Au2 Au 0.158 0.750 0.055
Au3 Au 0.171 0.750 0.678



8.
# InBr2Cl | Alexandria via LeMat-Bulk | PBE-GGA | relaxed
# Total energy = -2.852 eV per atom
# N(E_F) = 0.0000 states/eV/atom
data_InBr2Cl
_chemical_formula_sum 'In2 Br4 Cl2'
_symmetry_space_group_name_H-M 'P 1'
_symmetry_Int_Tables_number 1
_cell_length_a 6.790
_cell_length_b 7.137
_cell_length_c 7.785
_cell_angle_alpha 82.43
_cell_angle_beta 65.63
_cell_angle_gamma 86.04
loop_
_symmetry_equiv_pos_as_xyz
'x,y,z'
loop_
_atom_site_label
_atom_site_type_symbol
_atom_site_fract_x
_atom_site_fract_y
_atom_site_fract_z
In1 In 0.000 0.000 0.000
In2 In 0.497 0.000 0.000
Br1 Br 0.240 0.301 0.972
Br2 Br 0.620 0.139 0.249
Br3 Br 0.758 0.700 0.026
Br4 Br 0.867 0.154 0.725
Cl1 Cl 0.140 0.855 0.252
Cl2 Cl 0.365 0.866 0.773



9.
# PmSbSeO2 | Alexandria via LeMat-Bulk | PBE-GGA | relaxed
# Total energy = -6.421 eV per atom
# N(E_F) = 0.0000 states/eV/atom
data_PmSbSeO2
_chemical_formula_sum 'Pm2 Sb2 Se2 O4'
_symmetry_space_group_name_H-M 'P 1 21/m 1'
_symmetry_Int_Tables_number 11
_cell_length_a 6.627
_cell_length_b 4.071
_cell_length_c 7.687
_cell_angle_alpha 90.00
_cell_angle_beta 105.20
_cell_angle_gamma 90.00
loop_
_symmetry_equiv_pos_as_xyz
'x,y,z'
'-x,-y,-z'
'-x,y+1/2,-z'
'x,-y+1/2,z'
loop_
_atom_site_label
_atom_site_type_symbol
_atom_site_fract_x
_atom_site_fract_y
_atom_site_fract_z
Pm1 Pm 0.198 0.250 0.426
Sb1 Sb 0.173 0.250 0.909
Se1 Se 0.431 0.750 0.709
O1 O 0.016 0.750 0.896
O2 O 0.017 0.750 0.355



10.
# SrCdCl2 | Alexandria via LeMat-Bulk | PBE-GGA | relaxed
# Total energy = -3.049 eV per atom
# N(E_F) = 0.0000 states/eV/atom
data_SrCdCl2
_chemical_formula_sum 'Sr1 Cd1 Cl2'
_symmetry_space_group_name_H-M 'P 1 m 1'
_symmetry_Int_Tables_number 6
_cell_length_a 4.461
_cell_length_b 4.049
_cell_length_c 7.359
_cell_angle_alpha 90.00
_cell_angle_beta 106.25
_cell_angle_gamma 90.00
loop_
_symmetry_equiv_pos_as_xyz
'x,y,z'
'x,-y,z'
loop_
_atom_site_label
_atom_site_type_symbol
_atom_site_fract_x
_atom_site_fract_y
_atom_site_fract_z
Sr1 Sr 0.000 0.000 0.000
Cd1 Cd 0.849 0.500 0.590
Cl1 Cl 0.182 0.000 0.391
Cl2 Cl 0.522 0.500 0.042



11.
# Mn2NiP | Alexandria via LeMat-Bulk | PBE-GGA | relaxed
# Total energy = -7.593 eV per atom
# Energy of formation = -0.2101 eV/atom
# N(E_F) = 0.8370 states/eV/atom
data_Mn2NiP
_chemical_formula_sum 'Mn2 Ni1 P1'
_symmetry_space_group_name_H-M 'P 4/m m m'
_symmetry_Int_Tables_number 123
_symmetry_space_group_name_Hall '-P 4 2'
_cell_length_a 3.541
_cell_length_b 3.541
_cell_length_c 3.587
_cell_angle_alpha 90.00
_cell_angle_beta 90.00
_cell_angle_gamma 90.00
loop_
_atom_site_label
_atom_site_type_symbol
_atom_site_fract_x
_atom_site_fract_y
_atom_site_fract_z
Mn1 Mn 0.000 0.500 0.000
Ni1 Ni 0.000 0.000 0.500
P1 P 0.500 0.500 0.500



12.
# DyTaCuO5 | Alexandria via LeMat-Bulk | PBE-GGA | relaxed
# Total energy = -8.082 eV per atom
# N(E_F) = 0.1943 states/eV/atom
data_DyTaCuO5
_chemical_formula_sum 'Dy4 Ta4 Cu4 O20'
_symmetry_space_group_name_H-M 'C 1 2/c 1'
_symmetry_Int_Tables_number 15
_cell_length_a 6.373
_cell_length_b 9.296
_cell_length_c 7.588
_cell_angle_alpha 90.00
_cell_angle_beta 112.92
_cell_angle_gamma 90.00
loop_
_symmetry_equiv_pos_as_xyz
'x,y,z'
'-x,-y,-z'
'-x,y,-z+1/2'
'x,-y,z+1/2'
'x+1/2,y+1/2,z'
'-x+1/2,-y+1/2,-z'
'-x+1/2,y+1/2,-z+1/2'
'x+1/2,-y+1/2,z+1/2'
loop_
_atom_site_label
_atom_site_type_symbol
_atom_site_fract_x
_atom_site_fract_y
_atom_site_fract_z
Dy1 Dy 0.000 0.182 0.250
Ta1 Ta 0.000 0.500 0.000
Cu1 Cu 0.000 0.168 0.750
O1 O 0.000 0.433 0.250
O2 O 0.071 0.292 0.574
O3 O 0.168 0.018 0.918



13.
# Li8Zn2Pd | Alexandria via LeMat-Bulk | PBE-GGA | relaxed
# Total energy = -2.274 eV per atom
# Energy of formation = -0.1782 eV/atom
# N(E_F) = 0.3858 states/eV/atom
data_Li8Zn2Pd
_chemical_formula_sum 'Li16 Zn4 Pd2'
_symmetry_space_group_name_H-M 'C 1 2/m 1'
_symmetry_Int_Tables_number 12
_cell_length_a 14.536
_cell_length_b 4.324
_cell_length_c 5.509
_cell_angle_alpha 90.00
_cell_angle_beta 94.44
_cell_angle_gamma 90.00
loop_
_symmetry_equiv_pos_as_xyz
'x,y,z'
'-x,-y,-z'
'-x,y,-z'
'x,-y,z'
'x+1/2,y+1/2,z'
'-x+1/2,-y+1/2,-z'
'-x+1/2,y+1/2,-z'
'x+1/2,-y+1/2,z'
loop_
_atom_site_label
_atom_site_type_symbol
_atom_site_fract_x
_atom_site_fract_y
_atom_site_fract_z
Li1 Li 0.045 0.000 0.249
Li2 Li 0.092 0.500 0.943
Li3 Li 0.140 0.000 0.676
Li4 Li 0.179 0.500 0.398
Zn1 Zn 0.228 0.000 0.122
Pd1 Pd 0.000 0.500 0.500